{"formula": "Li4Cd3Hg4", "functional": "PBE", "state": "optimized geometry", "lattice_angstrom": [[-2.213, 3.599, 7.400], [2.213, -3.599, 7.400], [2.213, 3.599, -7.400]], "species": ["Li", "Li", "Li", "Li", "Cd", "Cd", "Cd", "Hg", "Hg", "Hg", "Hg"], "fractional_positions": [[0.037, 0.825, 0.212], [0.388, 0.175, 0.212], [0.612, 0.825, 0.788], [0.963, 0.175, 0.788], [0.000, 0.500, 0.500], [0.363, 0.363, 0.000], [0.637, 0.637, 0.000], [0.207, 0.707, 0.500], [0.297, 0.000, 0.297], [0.703, 0.000, 0.703], [0.793, 0.293, 0.500]], "polymorph_energy_mev_per_atom": 26, "space_group": "No. 71"}

---

{"formula": "LiMgCd2Hg5", "functional": "PBE", "state": "optimized geometry", "lattice_angstrom": [[1.659, -8.814, 0.000], [1.659, 8.814, 0.000], [0.000, 0.000, 14.175]], "species": ["Li", "Li", "Mg", "Mg", "Cd", "Cd", "Cd", "Cd", "Hg", "Hg", "Hg", "Hg", "Hg", "Hg", "Hg", "Hg", "Hg", "Hg"], "fractional_positions": [[0.090, 0.910, 0.500], [0.910, 0.090, 0.000], [0.295, 0.705, 0.158], [0.705, 0.295, 0.658], [0.334, 0.666, 0.829], [0.428, 0.572, 0.474], [0.572, 0.428, 0.974], [0.666, 0.334, 0.329], [0.016, 0.984, 0.325], [0.130, 0.870, 0.146], [0.162, 0.838, 0.819], [0.249, 0.751, 0.493], [0.462, 0.538, 0.146], [0.538, 0.462, 0.646], [0.751, 0.249, 0.993], [0.838, 0.162, 0.319], [0.870, 0.130, 0.646], [0.984, 0.016, 0.825]], "space_group": "No. 36"}

---

{"formula": "LiMg2Cd2Hg2", "functional": "PBE", "state": "optimized geometry", "lattice_angstrom": [[2.413, 1.393, 7.340], [-2.413, 1.393, 7.340], [0.000, -2.787, 7.340]], "species": ["Li", "Mg", "Mg", "Cd", "Cd", "Hg", "Hg"], "fractional_positions": [[0.000, 0.000, 0.000], [0.134, 0.134, 0.134], [0.866, 0.866, 0.866], [0.282, 0.282, 0.282], [0.718, 0.718, 0.718], [0.425, 0.425, 0.425], [0.575, 0.575, 0.575]], "space_group": "No. 166"}

---

{"formula": "Li2Mg4CdHg", "functional": "PBE", "state": "optimized geometry", "lattice_angstrom": [[4.318, 0.000, 0.000], [0.000, 4.318, 0.000], [0.000, 0.000, 10.214]], "species": ["Li", "Li", "Mg", "Mg", "Mg", "Mg", "Cd", "Hg"], "fractional_positions": [[0.000, 0.000, 0.119], [0.000, 0.000, 0.881], [0.000, 0.500, 0.315], [0.000, 0.500, 0.685], [0.500, 0.000, 0.315], [0.500, 0.000, 0.685], [0.500, 0.500, 0.000], [0.500, 0.500, 0.500]], "space_group": "No. 123"}

---

{"formula": "LiMg2CdHg", "functional": "PBE", "state": "optimized geometry", "lattice_angstrom": [[4.932, -1.930, 0.000], [4.932, 1.930, 0.000], [-3.891, 0.000, 11.285]], "species": ["Li", "Li", "Mg", "Mg", "Mg", "Mg", "Cd", "Cd", "Hg", "Hg"], "fractional_positions": [[0.142, 0.142, 0.454], [0.858, 0.858, 0.546], [0.174, 0.174, 0.084], [0.406, 0.406, 0.364], [0.594, 0.594, 0.636], [0.826, 0.826, 0.916], [0.074, 0.074, 0.828], [0.926, 0.926, 0.172], [0.328, 0.328, 0.708], [0.672, 0.672, 0.292]], "space_group": "No. 12"}

---

{"formula": "LiMg2CdHg6", "functional": "PBE", "state": "optimized geometry", "lattice_angstrom": [[4.984, -3.242, 0.000], [4.984, 3.242, 0.000], [-2.976, 0.000, 7.395]], "species": ["Li", "Mg", "Mg", "Cd", "Hg", "Hg", "Hg", "Hg", "Hg", "Hg"], "fractional_positions": [[0.000, 0.000, 0.000], [0.366, 0.366, 0.804], [0.634, 0.634, 0.196], [0.500, 0.500, 0.500], [0.123, 0.624, 0.176], [0.166, 0.166, 0.415], [0.376, 0.877, 0.824], [0.624, 0.123, 0.176], [0.834, 0.834, 0.585], [0.877, 0.376, 0.824]], "space_group": "No. 12"}

---

{"formula": "LiMg2Cd2Hg", "functional": "PBE", "state": "optimized geometry", "lattice_angstrom": [[4.247, 0.000, 0.000], [0.000, 9.083, 0.000], [0.000, 0.000, 6.475]], "species": ["Li", "Li", "Mg", "Mg", "Mg", "Mg", "Cd", "Cd", "Cd", "Cd", "Hg", "Hg"], "fractional_positions": [[0.000, 0.166, 0.000], [0.000, 0.834, 0.500], [0.000, 0.156, 0.510], [0.000, 0.844, 0.010], [0.500, 0.338, 0.247], [0.500, 0.662, 0.747], [0.000, 0.496, 0.501], [0.000, 0.504, 0.001], [0.500, 0.322, 0.760], [0.500, 0.678, 0.260], [0.500, 0.015, 0.250], [0.500, 0.985, 0.750]], "space_group": "No. 26"}

---

{"formula": "LiMgCd3Hg", "functional": "PBE", "state": "optimized geometry", "lattice_angstrom": [[1.642, -8.000, 0.000], [1.642, 8.000, 0.000], [0.000, 0.000, 9.659]], "species": ["Li", "Li", "Mg", "Mg", "Cd", "Cd", "Cd", "Cd", "Cd", "Cd", "Hg", "Hg"], "fractional_positions": [[0.000, 0.000, 0.000], [0.000, 0.000, 0.500], [0.212, 0.788, 0.750], [0.788, 0.212, 0.250], [0.110, 0.890, 0.250], [0.335, 0.665, 0.503], [0.335, 0.665, 0.997], [0.665, 0.335, 0.003], [0.665, 0.335, 0.497], [0.890, 0.110, 0.750], [0.448, 0.552, 0.250], [0.552, 0.448, 0.750]], "space_group": "No. 63"}

---

{"formula": "Li2MgCd2Hg5", "functional": "PBE", "state": "optimized geometry", "lattice_angstrom": [[10.567, 0.000, 0.000], [0.000, 10.567, 0.000], [0.000, 0.000, 3.984]], "species": ["Li", "Li", "Li", "Li", "Mg", "Mg", "Cd", "Cd", "Cd", "Cd", "Hg", "Hg", "Hg", "Hg", "Hg", "Hg", "Hg", "Hg", "Hg", "Hg"], "fractional_positions": [[0.131, 0.369, 0.000], [0.369, 0.869, 0.000], [0.631, 0.131, 0.000], [0.869, 0.631, 0.000], [0.000, 0.000, 0.000], [0.500, 0.500, 0.000], [0.159, 0.659, 0.000], [0.341, 0.159, 0.000], [0.659, 0.841, 0.000], [0.841, 0.341, 0.000], [0.000, 0.500, 0.500], [0.108, 0.181, 0.500], [0.181, 0.892, 0.500], [0.319, 0.392, 0.500], [0.392, 0.681, 0.500], [0.500, 0.000, 0.500], [0.608, 0.319, 0.500], [0.681, 0.608, 0.500], [0.819, 0.108, 0.500], [0.892, 0.819, 0.500]], "space_group": "No. 127"}

---

{"formula": "Li2Mg4Cd2Hg", "functional": "PBE", "state": "optimized geometry", "lattice_angstrom": [[4.591, 0.000, 0.000], [-2.244, 5.809, 0.000], [-0.029, -2.193, 6.916]], "species": ["Li", "Li", "Mg", "Mg", "Mg", "Mg", "Cd", "Cd", "Hg"], "fractional_positions": [[0.049, 0.100, 0.345], [0.951, 0.900, 0.655], [0.152, 0.307, 0.001], [0.282, 0.562, 0.669], [0.718, 0.438, 0.331], [0.848, 0.693, 0.999], [0.384, 0.771, 0.334], [0.616, 0.229, 0.666], [0.500, 0.000, 0.000]], "space_group": "No. 2"}

---

{"formula": "LiMgCd2Hg6", "functional": "PBE", "state": "optimized geometry", "lattice_angstrom": [[4.970, -3.341, 0.000], [4.970, 3.341, 0.000], [-3.489, 0.000, 7.372]], "species": ["Li", "Mg", "Cd", "Cd", "Hg", "Hg", "Hg", "Hg", "Hg", "Hg"], "fractional_positions": [[0.000, 0.000, 0.000], [0.500, 0.500, 0.500], [0.394, 0.394, 0.804], [0.606, 0.606, 0.196], [0.094, 0.619, 0.196], [0.168, 0.168, 0.403], [0.381, 0.906, 0.804], [0.619, 0.094, 0.196], [0.832, 0.832, 0.597], [0.906, 0.381, 0.804]], "space_group": "No. 12"}

---

{"formula": "Li2Mg2CdHg7", "functional": "PBE", "state": "optimized geometry", "lattice_angstrom": [[-2.665, 9.367, 2.666], [2.665, -9.367, 2.666], [2.665, 9.367, -2.666]], "species": ["Li", "Li", "Mg", "Mg", "Cd", "Hg", "Hg", "Hg", "Hg", "Hg", "Hg", "Hg"], "fractional_positions": [[0.155, 0.000, 0.155], [0.845, 0.000, 0.845], [0.246, 0.496, 0.750], [0.746, 0.496, 0.250], [0.493, 0.993, 0.500], [0.000, 0.000, 0.000], [0.085, 0.494, 0.591], [0.305, 0.995, 0.310], [0.410, 0.500, 0.909], [0.591, 0.500, 0.091], [0.685, 0.995, 0.690], [0.903, 0.494, 0.409]], "space_group": "No. 44"}

---

Which formation energy from the elements belongs to each record? In order, -1.7; -0.8; -0.9; 0.5; -0.7; -0.9; -1.0; -0.9; -1.5; -1.5; -0.7; -1.8 eV per formula unit.
Which Fermi-level density of states belongs to each record? In order, 3.50; 6.77; 2.11; 2.64; 2.25; 2.64; 4.53; 3.81; 5.31; 2.73; 3.32; 5.14 states/eV/cell.